# Tb4AgPt PBE-GGA optimized geometry
data_Tb4AgPt
_chemical_formula_sum 'Tb16 Ag4 Pt4'
_cell_length_a 9.614
_cell_length_b 9.614
_cell_length_c 8.417
_cell_angle_alpha 90.00
_cell_angle_beta 90.00
_cell_angle_gamma 90.00
_symmetry_space_group_name_H-M 'I 41 m d'
_symmetry_Int_Tables_number 109
_symmetry_space_group_name_Hall 'I 4bw -2'
loop_
_atom_site_label
_atom_site_fract_x
_atom_site_fract_y
_atom_site_fract_z
Tb1 0.000 0.293 0.000
Tb2 0.000 0.301 0.474
Ag1 0.000 0.000 0.489
Pt1 0.000 0.000 0.985
# E_form ... -0.287 eV/atom
# Magnetization ... 0.00 μB/f.u.
# Energy relative to the lowest polymorph listed for this composition ... 6.86 kcal/mol of atoms
# N(E_F) ... 1.608 states/eV per atom